Compound: HfCo2PPt
Source: Alexandria
Functional: SCAN
Structure: PBEsol geometry

Lattice parameters (Å, degrees): 4.046 4.046 4.764 90.00 90.00 90.00
Sites, in units of the cell vectors:
Co 0.000 0.500 0.000
Co 0.500 0.000 0.000
Hf 0.000 0.000 0.500
Pt 0.500 0.500 0.500
P 0.000 0.000 0.000

- DFT total energy: -2.6214 Ry/atom
- Theoretical density: 11.12 g cm⁻³
- SG: P4/mmm
- Fermi-level density of states: 0.564 states/eV/atom
- Crystal system: tetragonal
- Size of the total moment: 3.39 Bohr magnetons per cell

***

Compound: HfCoP2S
Source: Alexandria
Functional: SCAN
Structure: PBEsol geometry

Lattice parameters (Å, degrees): 4.186 4.186 4.577 90.00 90.00 90.00
Sites, in units of the cell vectors:
Co 0.000 0.000 0.000
S 0.000 0.000 0.500
Hf 0.500 0.500 0.500
P 0.000 0.500 0.000
P 0.500 0.000 0.000

- DFT total energy: -1.6078 Ry/atom
- Theoretical density: 6.86 g cm⁻³
- SG: P4/mmm
- Fermi-level density of states: 0.878 states/eV/atom
- Crystal system: tetragonal
- Size of the total moment: 0.00 Bohr magnetons per cell

***

Compound: HfCoTe2P
Source: Alexandria
Functional: SCAN
Structure: PBEsol geometry

Lattice parameters (Å, degrees): 4.010 5.177 5.177 90.00 90.00 90.00
Sites, in units of the cell vectors:
Co 0.500 0.000 0.000
Te 0.000 0.000 0.500
Te 0.000 0.500 0.000
Hf 0.500 0.500 0.500
P 0.000 0.000 0.000

- DFT total energy: -2.3870 Ry/atom
- Theoretical density: 8.09 g cm⁻³
- SG: P4/mmm
- Fermi-level density of states: 0.376 states/eV/atom
- Crystal system: tetragonal
- Size of the total moment: 0.12 Bohr magnetons per cell

***

Compound: Hf2Co2Pb
Source: Alexandria
Functional: SCAN
Structure: PBEsol geometry

Lattice parameters (Å, degrees): 4.303 4.303 5.742 112.01 112.01 90.00
Sites, in units of the cell vectors:
Pb 0.000 0.000 0.000
Co 0.388 0.388 0.775
Co 0.612 0.612 0.225
Hf 0.250 0.750 0.500
Hf 0.750 0.250 0.500

- DFT total energy: -3.4660 Ry/atom
- Theoretical density: 12.56 g cm⁻³
- SG: I4/mmm
- Fermi-level density of states: 0.444 states/eV/atom
- Crystal system: tetragonal
- Size of the total moment: 0.00 Bohr magnetons per cell

***

Compound: HfSc2CoPb
Source: Alexandria
Functional: SCAN
Structure: PBEsol geometry

Lattice parameters (Å, degrees): 5.226 5.226 5.303 90.00 90.00 90.00
Sites, in units of the cell vectors:
Pb 0.000 0.000 0.000
Co 0.500 0.500 0.500
Hf 0.000 0.000 0.500
Sc 0.000 0.500 0.000
Sc 0.500 0.000 0.000

- DFT total energy: -2.6290 Ry/atom
- Theoretical density: 6.13 g cm⁻³
- SG: P4/mmm
- Fermi-level density of states: 1.608 states/eV/atom
- Crystal system: tetragonal
- Size of the total moment: 0.89 Bohr magnetons per cell

***

Compound: HfCoPb2W
Source: Alexandria
Functional: SCAN
Structure: PBEsol geometry

Lattice parameters (Å, degrees): 4.829 5.443 5.443 90.00 90.00 90.00
Sites, in units of the cell vectors:
Pb 0.000 0.000 0.500
Pb 0.000 0.500 0.000
Co 0.500 0.500 0.500
Hf 0.000 0.000 0.000
W 0.500 0.000 0.000

- DFT total energy: -4.2935 Ry/atom
- Theoretical density: 9.70 g cm⁻³
- SG: P4/mmm
- Fermi-level density of states: 0.746 states/eV/atom
- Crystal system: tetragonal
- Size of the total moment: 4.10 Bohr magnetons per cell

***

Compound: Hf2Co2Pd
Source: Alexandria
Functional: SCAN
Structure: PBEsol geometry

Lattice parameters (Å, degrees): 3.236 6.781 6.781 90.00 90.00 90.00
Sites, in units of the cell vectors:
Co 0.000 0.374 0.874
Co 0.000 0.874 0.626
Co 0.000 0.626 0.126
Co 0.000 0.126 0.374
Hf 0.500 0.173 0.673
Hf 0.500 0.673 0.827
Hf 0.500 0.827 0.327
Hf 0.500 0.327 0.173
Pd 0.000 0.000 0.000
Pd 0.000 0.500 0.500

- DFT total energy: -2.8670 Ry/atom
- Theoretical density: 12.97 g cm⁻³
- SG: P4/mbm
- Fermi-level density of states: 0.523 states/eV/atom
- Crystal system: tetragonal
- Size of the total moment: 2.99 Bohr magnetons per cell

***

Compound: HfCoPd3
Source: Alexandria
Functional: SCAN
Structure: PBEsol geometry

Lattice parameters (Å, degrees): 4.447 4.447 4.447 90.00 90.00 90.00
Sites, in units of the cell vectors:
Co 0.000 0.000 0.000
Hf 0.500 0.500 0.500
Pd 0.000 0.500 0.000
Pd 0.000 0.000 0.500
Pd 0.500 0.000 0.000

- DFT total energy: -2.5843 Ry/atom
- Theoretical density: 10.51 g cm⁻³
- SG: Pm-3m
- Fermi-level density of states: 0.922 states/eV/atom
- Crystal system: cubic
- Size of the total moment: 2.82 Bohr magnetons per cell

***

Compound: HfCoPd2Rh
Source: Alexandria
Functional: SCAN
Structure: PBEsol geometry

Lattice parameters (Å, degrees): 4.342 4.673 4.673 90.00 90.00 90.00
Sites, in units of the cell vectors:
Rh 0.500 0.500 0.500
Hf 0.000 0.000 0.000
Pd 0.000 0.000 0.500
Pd 0.000 0.500 0.000
Co 0.500 0.000 0.000

- DFT total energy: -2.5509 Ry/atom
- Theoretical density: 9.69 g cm⁻³
- SG: P4/mmm
- Fermi-level density of states: 0.520 states/eV/atom
- Crystal system: tetragonal
- Size of the total moment: 2.15 Bohr magnetons per cell

***

Compound: Hf2Co2Pt
Source: Alexandria
Functional: SCAN
Structure: PBEsol geometry

Lattice parameters (Å, degrees): 3.314 6.701 6.701 90.00 90.00 90.00
Sites, in units of the cell vectors:
Co 0.000 0.378 0.878
Co 0.000 0.878 0.622
Co 0.000 0.622 0.122
Co 0.000 0.122 0.378
Hf 0.500 0.178 0.678
Hf 0.500 0.678 0.822
Hf 0.500 0.822 0.322
Hf 0.500 0.322 0.178
Pt 0.000 0.000 0.000
Pt 0.000 0.500 0.500

- DFT total energy: -3.4314 Ry/atom
- Theoretical density: 14.95 g cm⁻³
- SG: P4/mbm
- Fermi-level density of states: 0.658 states/eV/atom
- Crystal system: tetragonal
- Size of the total moment: 3.00 Bohr magnetons per cell

***

Compound: HfSc2CoPt
Source: Alexandria
Functional: SCAN
Structure: PBEsol geometry

Lattice parameters (Å, degrees): 4.705 5.052 5.052 90.00 90.00 90.00
Sites, in units of the cell vectors:
Sc 0.000 0.000 0.500
Sc 0.000 0.500 0.000
Co 0.500 0.500 0.500
Hf 0.000 0.000 0.000
Pt 0.500 0.000 0.000

- DFT total energy: -2.5624 Ry/atom
- Theoretical density: 7.22 g cm⁻³
- SG: P4/mmm
- Fermi-level density of states: 0.609 states/eV/atom
- Crystal system: tetragonal
- Size of the total moment: 1.91 Bohr magnetons per cell

***

Compound: RbHf2Co2
Source: Alexandria
Functional: SCAN
Structure: PBEsol geometry

Lattice parameters (Å, degrees): 4.267 4.267 7.106 107.47 107.47 90.00
Sites, in units of the cell vectors:
Co 0.355 0.355 0.711
Co 0.645 0.645 0.289
Hf 0.250 0.750 0.500
Hf 0.750 0.250 0.500
Rb 0.000 0.000 0.000

- DFT total energy: -2.6205 Ry/atom
- Theoretical density: 7.94 g cm⁻³
- SG: I4/mmm
- Fermi-level density of states: 0.735 states/eV/atom
- Crystal system: tetragonal
- Size of the total moment: 0.00 Bohr magnetons per cell

***

Compound: RbHf2Co
Source: Alexandria
Functional: SCAN
Structure: PBEsol geometry

Lattice parameters (Å, degrees): 4.765 4.765 4.765 60.00 60.00 60.00
Sites, in units of the cell vectors:
Co 0.000 0.000 0.000
Hf 0.250 0.250 0.250
Hf 0.750 0.750 0.750
Rb 0.500 0.500 0.500

- DFT total energy: -2.9107 Ry/atom
- Theoretical density: 10.88 g cm⁻³
- SG: Fm-3m
- Fermi-level density of states: 0.800 states/eV/atom
- Crystal system: cubic
- Size of the total moment: 0.00 Bohr magnetons per cell

***

Compound: Hf2CoRe
Source: Alexandria
Functional: SCAN
Structure: PBEsol geometry

Lattice parameters (Å, degrees): 4.496 4.496 4.496 60.00 60.00 60.00
Sites, in units of the cell vectors:
Re 0.500 0.500 0.500
Hf 0.250 0.250 0.250
Hf 0.750 0.750 0.750
Co 0.000 0.000 0.000

- DFT total energy: -3.9651 Ry/atom
- Theoretical density: 15.56 g cm⁻³
- SG: Fm-3m
- Fermi-level density of states: 0.391 states/eV/atom
- Crystal system: cubic
- Size of the total moment: 0.59 Bohr magnetons per cell

***

Compound: Hf9CoRe4
Source: Alexandria
Functional: SCAN
Structure: PBEsol geometry

Lattice parameters (Å, degrees): 8.384 8.461 8.461 120.00 90.00 90.00
Sites, in units of the cell vectors:
Hf 0.058 0.200 0.800
Hf 0.058 0.600 0.800
Hf 0.058 0.200 0.400
Hf 0.942 0.800 0.200
Hf 0.942 0.400 0.200
Hf 0.942 0.800 0.600
Hf 0.558 0.800 0.200
Hf 0.558 0.400 0.200
Hf 0.558 0.800 0.600
Hf 0.442 0.200 0.800
Hf 0.442 0.600 0.800
Hf 0.442 0.200 0.400
Hf 0.250 0.541 0.459
Hf 0.250 0.917 0.459
Hf 0.250 0.541 0.083
Hf 0.750 0.459 0.541
Hf 0.750 0.083 0.541
Hf 0.750 0.459 0.917
Co 0.250 0.333 0.667
Co 0.750 0.667 0.333
Re 0.250 0.889 0.111
Re 0.250 0.222 0.111
Re 0.250 0.889 0.778
Re 0.750 0.111 0.889
Re 0.750 0.778 0.889
Re 0.750 0.111 0.222
Re 0.000 0.000 0.000
Re 0.500 0.000 0.000

- DFT total energy: -4.5731 Ry/atom
- Theoretical density: 15.40 g cm⁻³
- SG: P6_3/mmc
- Fermi-level density of states: 0.720 states/eV/atom
- Crystal system: hexagonal
- Size of the total moment: 0.00 Bohr magnetons per cell

***

Compound: HfCo2Rh
Source: Alexandria
Functional: SCAN
Structure: PBEsol geometry

Lattice parameters (Å, degrees): 4.227 4.227 4.227 60.00 60.00 60.00
Sites, in units of the cell vectors:
Rh 0.000 0.000 0.000
Hf 0.500 0.500 0.500
Co 0.250 0.250 0.250
Co 0.750 0.750 0.750

- DFT total energy: -2.4295 Ry/atom
- Theoretical density: 12.42 g cm⁻³
- SG: Fm-3m
- Fermi-level density of states: 0.972 states/eV/atom
- Crystal system: cubic
- Size of the total moment: 3.29 Bohr magnetons per cell

***

Compound: Hf3CoRh
Source: Alexandria
Functional: SCAN
Structure: PBEsol geometry

Lattice parameters (Å, degrees): 4.616 4.616 4.616 90.00 90.00 90.00
Sites, in units of the cell vectors:
Rh 0.500 0.500 0.500
Hf 0.000 0.500 0.000
Hf 0.000 0.000 0.500
Hf 0.500 0.000 0.000
Co 0.000 0.000 0.000

- DFT total energy: -3.5011 Ry/atom
- Theoretical density: 11.77 g cm⁻³
- SG: Pm-3m
- Fermi-level density of states: 1.196 states/eV/atom
- Crystal system: cubic
- Size of the total moment: 0.00 Bohr magnetons per cell

***

Compound: HfCoTeRh2
Source: Alexandria
Functional: SCAN
Structure: PBEsol geometry

Lattice parameters (Å, degrees): 4.408 4.719 4.719 90.00 90.00 90.00
Sites, in units of the cell vectors:
Rh 0.000 0.000 0.500
Rh 0.000 0.500 0.000
Te 0.000 0.000 0.000
Hf 0.500 0.500 0.500
Co 0.500 0.000 0.000

- DFT total energy: -2.6639 Ry/atom
- Theoretical density: 9.66 g cm⁻³
- SG: P4/mmm
- Fermi-level density of states: 0.803 states/eV/atom
- Crystal system: tetragonal
- Size of the total moment: 1.61 Bohr magnetons per cell

***

Compound: Hf2CoRu
Source: Alexandria
Functional: SCAN
Structure: PBEsol geometry

Lattice parameters (Å, degrees): 4.471 4.471 4.471 60.00 60.00 60.00
Sites, in units of the cell vectors:
Ru 0.500 0.500 0.500
Hf 0.250 0.250 0.250
Hf 0.750 0.750 0.750
Co 0.000 0.000 0.000

- DFT total energy: -3.3121 Ry/atom
- Theoretical density: 13.58 g cm⁻³
- SG: Fm-3m
- Fermi-level density of states: 0.386 states/eV/atom
- Crystal system: cubic
- Size of the total moment: 1.10 Bohr magnetons per cell

***

Compound: HfCoS2
Source: Alexandria
Functional: SCAN
Structure: PBEsol geometry

Lattice parameters (Å, degrees): 3.439 3.439 7.598 76.92 76.92 60.00
Sites, in units of the cell vectors:
Co 0.000 0.000 0.000
S 0.904 0.904 0.289
S 0.096 0.096 0.711
Hf 0.500 0.500 0.500

- DFT total energy: -1.8876 Ry/atom
- Theoretical density: 6.67 g cm⁻³
- SG: R-3m
- Fermi-level density of states: 0.362 states/eV/atom
- Crystal system: trigonal
- Size of the total moment: 2.11 Bohr magnetons per cell

***

Compound: Hf2Co2Sb
Source: Alexandria
Functional: SCAN
Structure: PBEsol geometry

Lattice parameters (Å, degrees): 3.242 7.030 7.030 90.00 90.00 90.00
Sites, in units of the cell vectors:
Sb 0.000 0.000 0.000
Sb 0.000 0.500 0.500
Hf 0.500 0.165 0.665
Hf 0.500 0.665 0.835
Hf 0.500 0.835 0.335
Hf 0.500 0.335 0.165
Co 0.000 0.372 0.872
Co 0.000 0.872 0.628
Co 0.000 0.628 0.128
Co 0.000 0.128 0.372

- DFT total energy: -2.9273 Ry/atom
- Theoretical density: 12.37 g cm⁻³
- SG: P4/mbm
- Fermi-level density of states: 0.780 states/eV/atom
- Crystal system: tetragonal
- Size of the total moment: 0.01 Bohr magnetons per cell

***

Compound: HfZr2CoSb
Source: Alexandria
Functional: SCAN
Structure: PBEsol geometry

Lattice parameters (Å, degrees): 4.456 5.218 5.218 90.00 90.00 90.00
Sites, in units of the cell vectors:
Sb 0.000 0.000 0.000
Hf 0.500 0.500 0.500
Zr 0.000 0.000 0.500
Zr 0.000 0.500 0.000
Co 0.500 0.000 0.000

- DFT total energy: -2.5661 Ry/atom
- Theoretical density: 7.41 g cm⁻³
- SG: P4/mmm
- Fermi-level density of states: 1.146 states/eV/atom
- Crystal system: tetragonal
- Size of the total moment: 3.06 Bohr magnetons per cell

***

Compound: HfSc2Co2
Source: Alexandria
Functional: SCAN
Structure: PBEsol geometry

Lattice parameters (Å, degrees): 4.183 6.360 6.360 90.00 90.00 90.00
Sites, in units of the cell vectors:
Sc 0.500 0.176 0.676
Sc 0.500 0.676 0.824
Sc 0.500 0.824 0.324
Sc 0.500 0.324 0.176
Co 0.000 0.379 0.879
Co 0.000 0.879 0.621
Co 0.000 0.621 0.121
Co 0.000 0.121 0.379
Hf 0.000 0.000 0.000
Hf 0.000 0.500 0.500

- DFT total energy: -1.8628 Ry/atom
- Theoretical density: 7.58 g cm⁻³
- SG: P4/mbm
- Fermi-level density of states: 0.857 states/eV/atom
- Crystal system: tetragonal
- Size of the total moment: 0.00 Bohr magnetons per cell

***

Compound: Hf6Co16Si7
Source: Alexandria
Functional: SCAN
Structure: PBEsol geometry

Lattice parameters (Å, degrees): 7.917 7.917 7.917 60.00 60.00 60.00
Sites, in units of the cell vectors:
Hf 0.205 0.795 0.795
Hf 0.205 0.205 0.795
Hf 0.795 0.205 0.205
Hf 0.795 0.795 0.205
Hf 0.205 0.795 0.205
Hf 0.795 0.205 0.795
Co 0.620 0.140 0.620
Co 0.171 0.171 0.488
Co 0.380 0.380 0.380
Co 0.829 0.829 0.829
Co 0.171 0.171 0.171
Co 0.829 0.512 0.829
Co 0.171 0.488 0.171
Co 0.620 0.620 0.620
Co 0.488 0.171 0.171
Co 0.380 0.860 0.380
Co 0.140 0.620 0.620
Co 0.380 0.380 0.860
Co 0.860 0.380 0.380
Co 0.512 0.829 0.829
Co 0.620 0.620 0.140
Co 0.829 0.829 0.512
Si 0.000 0.500 0.000
Si 0.000 0.000 0.500
Si 0.500 0.500 0.500
Si 0.500 0.500 0.000
Si 0.500 0.000 0.500
Si 0.000 0.500 0.500
Si 0.500 0.000 0.000

- DFT total energy: -1.8772 Ry/atom
- Theoretical density: 10.46 g cm⁻³
- SG: Fm-3m
- Fermi-level density of states: 0.912 states/eV/atom
- Crystal system: cubic
- Size of the total moment: 0.02 Bohr magnetons per cell